Record 1
# PBE-GGA La2ZnFeI, optimized geometry
# total magnetic moment = 0.00 μB/cell
# formation energy from raw total energies = -0.408 eV/atom
# total energy = -23.18 eV/cell
data_La2ZnFeI
_chemical_formula_sum 'La2 Zn1 Fe1 I1'
_cell_length_a 5.205
_cell_length_b 5.205
_cell_length_c 4.832
_cell_angle_alpha 90.00
_cell_angle_beta 90.00
_cell_angle_gamma 90.00
_symmetry_space_group_name_H-M 'P 4/m m m'
_symmetry_Int_Tables_number 123
_symmetry_space_group_name_Hall '-P 4 2'
loop_
_atom_site_label
_atom_site_type_symbol
_atom_site_fract_x
_atom_site_fract_y
_atom_site_fract_z
La1 La 0.000 0.500 0.000
Zn1 Zn 0.000 0.000 0.500
Fe1 Fe 0.000 0.000 0.000
I1 I 0.500 0.500 0.500

Record 2
# PBE-GGA LiFeI, optimized geometry
# total magnetic moment = 8.06 μB/cell
# formation energy from raw total energies = 0.255 eV/atom
# total energy = -44.64 eV/cell
data_LiFeI
_chemical_formula_sum 'Li4 Fe4 I4'
_cell_length_a 7.675
_cell_length_b 4.431
_cell_length_c 7.384
_cell_angle_alpha 90.00
_cell_angle_beta 110.12
_cell_angle_gamma 90.00
_symmetry_space_group_name_H-M 'C 1 2/m 1'
_symmetry_Int_Tables_number 12
_symmetry_space_group_name_Hall '-C 2y'
loop_
_atom_site_label
_atom_site_type_symbol
_atom_site_fract_x
_atom_site_fract_y
_atom_site_fract_z
Li1 Li 0.202 0.000 0.106
Fe1 Fe 0.057 0.000 0.672
I1 I 0.097 0.500 0.291

Record 3
# PBE-GGA Li2FeI, optimized geometry
# total magnetic moment = 11.39 μB/cell
# polymorph energy (0 for the lowest one) = 0.000 eV per atom
# formation energy from raw total energies = 0.322 eV/atom
# total energy = -50.21 eV/cell
data_Li2FeI
_chemical_formula_sum 'Li8 Fe4 I4'
_cell_length_a 7.614
_cell_length_b 7.614
_cell_length_c 5.683
_cell_angle_alpha 90.00
_cell_angle_beta 90.00
_cell_angle_gamma 90.00
_symmetry_space_group_name_H-M 'I -4 2 d'
_symmetry_Int_Tables_number 122
_symmetry_space_group_name_Hall 'I -4 2bw'
loop_
_atom_site_label
_atom_site_type_symbol
_atom_site_fract_x
_atom_site_fract_y
_atom_site_fract_z
Li1 Li 0.248 0.250 0.125
Fe1 Fe 0.000 0.000 0.500
I1 I 0.000 0.000 0.000

Record 4
# PBE-GGA Li3FeI, optimized geometry
# total magnetic moment = 2.42 μB/cell
# polymorph energy (0 for the lowest one) = 0.000 eV per atom
# formation energy from raw total energies = 0.377 eV/atom
# total energy = -13.87 eV/cell
data_Li3FeI
_chemical_formula_sum 'Li3 Fe1 I1'
_cell_length_a 5.022
_cell_length_b 5.022
_cell_length_c 5.022
_cell_angle_alpha 90.00
_cell_angle_beta 90.00
_cell_angle_gamma 90.00
_symmetry_space_group_name_H-M 'P m -3 m'
_symmetry_Int_Tables_number 221
_symmetry_space_group_name_Hall '-P 4 2 3'
loop_
_atom_site_label
_atom_site_type_symbol
_atom_site_fract_x
_atom_site_fract_y
_atom_site_fract_z
Li1 Li 0.000 0.000 0.500
Fe1 Fe 0.000 0.000 0.000
I1 I 0.500 0.500 0.500

Record 5
# PBE-GGA LiFe3I9, optimized geometry
# total magnetic moment = 56.00 μB/cell
# formation energy from raw total energies = -0.296 eV/atom
# total energy = -180.43 eV/cell
data_LiFe3I9
_chemical_formula_sum 'Li4 Fe12 I36'
_cell_length_a 21.792
_cell_length_b 10.323
_cell_length_c 15.601
_cell_angle_alpha 90.00
_cell_angle_beta 131.34
_cell_angle_gamma 90.00
_symmetry_space_group_name_H-M 'C 1 c 1'
_symmetry_Int_Tables_number 9
_symmetry_space_group_name_Hall 'C -2yc'
loop_
_atom_site_label
_atom_site_type_symbol
_atom_site_fract_x
_atom_site_fract_y
_atom_site_fract_z
Li1 Li 0.000 0.159 0.000
Fe1 Fe 0.023 0.273 0.212
Fe2 Fe 0.176 0.127 0.569
Fe3 Fe 0.391 0.109 0.187
I1 I 0.000 0.425 0.323
I2 I 0.055 0.102 0.561
I3 I 0.092 0.373 0.144
I4 I 0.130 0.096 0.365
I5 I 0.256 0.330 0.664
I6 I 0.266 0.083 0.179
I7 I 0.350 0.103 0.996
I8 I 0.394 0.344 0.544
I9 I 0.453 0.327 0.285

Record 6
# PBE-GGA LiFe3I12, optimized geometry
# total magnetic moment = 77.64 μB/cell
# formation energy from raw total energies = -0.218 eV/atom
# total energy = -296.35 eV/cell
data_LiFe3I12
_chemical_formula_sum 'Li6 Fe18 I72'
_cell_length_a 11.7108
_cell_length_b 11.7108
_cell_length_c 39.5060
_cell_angle_alpha 90.00
_cell_angle_beta 90.00
_cell_angle_gamma 120.00
_symmetry_space_group_name_H-M 'R 3 c'
_symmetry_Int_Tables_number 161
_symmetry_space_group_name_Hall 'R 3 -2"c'
loop_
_atom_site_label
_atom_site_type_symbol
_atom_site_fract_x
_atom_site_fract_y
_atom_site_fract_z
Li1 Li 0.0000 0.0000 0.0000
Fe1 Fe 0.0369 0.3620 0.1635
I1 I 0.1820 0.4373 0.2156
I2 I 0.1863 0.4370 0.1123
I3 I 0.2015 0.4394 0.9941
I4 I 0.2167 0.4355 0.8315

Record 7
# PBE-GGA Li3Fe2I8, optimized geometry
# total magnetic moment = 36.00 μB/cell
# formation energy from raw total energies = -0.595 eV/atom
# total energy = -171.21 eV/cell
data_Li3Fe2I8
_chemical_formula_sum 'Li12 Fe8 I32'
_cell_length_a 8.652
_cell_length_b 16.828
_cell_length_c 12.073
_cell_angle_alpha 90.00
_cell_angle_beta 90.00
_cell_angle_gamma 90.00
_symmetry_space_group_name_H-M 'C m c e'
_symmetry_Int_Tables_number 64
_symmetry_space_group_name_Hall '-C 2ac 2'
loop_
_atom_site_label
_atom_site_type_symbol
_atom_site_fract_x
_atom_site_fract_y
_atom_site_fract_z
Li1 Li 0.000 0.000 0.000
Li2 Li 0.250 0.134 0.250
Fe1 Fe 0.000 0.122 0.620
I1 I 0.000 0.004 0.248
I2 I 0.000 0.248 0.745
I3 I 0.247 0.125 0.500

Record 8
# PBE-GGA Li2Fe2I, optimized geometry
# total magnetic moment = 12.67 μB/cell
# polymorph energy (0 for the lowest one) = 0.287 eV per atom
# formation energy from raw total energies = 0.665 eV/atom
# total energy = -37.95 eV/cell
data_Li2Fe2I
_chemical_formula_sum 'Li4 Fe4 I2'
_cell_length_a 3.849
_cell_length_b 3.849
_cell_length_c 12.851
_cell_angle_alpha 90.00
_cell_angle_beta 90.00
_cell_angle_gamma 90.00
_symmetry_space_group_name_H-M 'I 4/m m m'
_symmetry_Int_Tables_number 139
_symmetry_space_group_name_Hall '-I 4 2'
loop_
_atom_site_label
_atom_site_type_symbol
_atom_site_fract_x
_atom_site_fract_y
_atom_site_fract_z
Li1 Li 0.000 0.500 0.250
Fe1 Fe 0.000 0.000 0.088
I1 I 0.000 0.000 0.500